i.
Compound: LaSm8Y2
Source: the Alexandria database
Functional: PBE
Structure: relaxed

Output
- Volume: 777.06 Å³/cell
- M_tot: 0.00 μB/atom
- Mass density: 6.49 Mg/m³

a b c (Å): 19.5281 7.0590 5.6467
angles (deg): 90.00 93.34 90.00
Closest atoms and distances in Å follow each position.
Space group C2/m (No. 12)
Inequivalent atoms, fractional coordinates:
La 0.0000 0.0000 0.0000 x2  10 Sm 3.62-3.86
Sm 0.0451 0.5000 0.2389 x4  1 Sm 3.14, 1 Y 3.33
Sm 0.1334 0.2681 0.7310 x8  4 Sm 3.27-3.61, 3 Y 3.50-3.66, 1 La 3.62
Sm 0.1879 0.0000 0.2313 x4  4 Y 3.37-3.57, 4 Sm 3.51-3.61
Y 0.2156 0.5000 0.2533 x4  11 Sm 3.33-3.66


ii.
Compound: LaSm8Y2
Source: the Alexandria database
Functional: PBE
Structure: relaxed

Output
- Volume: 754.67 Å³/cell
- M_tot: 0.00 μB/atom
- Mass density: 6.69 Mg/m³

a b c (Å): 5.6731 8.2840 16.0581
angles (deg): 90.00 90.00 90.00
Closest atoms and distances in Å follow each position.
Space group Immm (No. 71)
Inequivalent atoms, fractional coordinates:
La 0.0000 0.0000 0.0000 x2  4 Sm 3.31
Sm 0.0000 0.2054 0.5000 x4  7 Sm 3.40-3.60, 2 Y 3.64, 2 La 3.74
Sm 0.0000 0.2960 0.1381 x8  1 La 3.31, 4 Sm 3.38-3.60, 3 Y 3.45-3.57
Sm 0.0000 0.5000 0.3359 x4  2 Y 3.58, 8 Sm 3.59-3.77, 2 La 3.87
Y 0.0000 0.0000 0.3000 x4  10 Sm 3.45-3.64


Most stable structure, least stable structure: ii, i.


i.
Compound: LaSm5Y3
Source: the Alexandria database
Functional: PBE
Structure: relaxed

Output
- Volume: 1311.34 Å³/cell
- M_tot: 0.00 μB/atom
- Mass density: 5.86 Mg/m³

a b c (Å): 17.0644 8.1663 12.4514
angles (deg): 90.00 130.91 90.00
Closest atoms and distances in Å follow each position.
Space group C2/m (No. 12)
Inequivalent atoms, fractional coordinates:
La 0.2382 0.0000 0.1330 x4  2 Y 3.23-3.42, 1 Sm 3.33
Sm 0.0000 0.3187 0.0000 x4  1 Y 2.60
Sm 0.0633 0.2037 0.7775 x8  5 Sm 3.33-3.71, 2 Y 3.45-3.68, 1 La 3.69
Sm 0.1290 0.0000 0.5715 x4  6 Sm 3.39-3.79, 2 Y 3.41-3.59
Sm 0.1972 0.5000 0.0680 x4  5 Sm 3.24-3.59, 1 La 3.33
Y 0.0000 0.0000 0.0000 x2  2 Sm 2.60
Y 0.0000 0.5000 0.5000 x2  4 Sm 3.75, 2 La 3.76, 2 Y 3.90
Y 0.1157 0.5000 0.3146 x4  1 Y 3.32, 5 Sm 3.36-3.59
Y 0.1746 0.0000 0.3428 x4  2 Y 3.23-3.32, 1 Sm 3.41, 1 La 3.42


ii.
Compound: LaSm5Y3
Source: the Alexandria database
Functional: PBE
Structure: relaxed

Output
- Volume: 1262.66 Å³/cell
- M_tot: 0.00 μB/atom
- Mass density: 6.09 Mg/m³

a b c (Å): 18.7207 6.4238 11.3765
angles (deg): 90.00 112.64 90.00
Closest atoms and distances in Å follow each position.
Space group C2/c (No. 15)
Inequivalent atoms, fractional coordinates:
La 0.0000 0.1382 0.2500 x4  1 Sm 2.98, 2 Y 2.98
Sm 0.0000 0.3980 0.7500 x4  1 La 2.98, 2 Sm 3.24
Sm 0.1696 0.1820 0.8679 x8  4 Sm 3.24-3.53, 1 Y 3.56, 1 La 3.58
Sm 0.1697 0.2888 0.2083 x8  4 Y 3.39-3.65, 2 Sm 3.44-3.53, 1 La 3.52
Y 0.0000 0.0000 0.0000 x4  2 La 2.98
Y 0.1617 0.3015 0.5159 x8  5 Sm 3.39-3.75, 1 La 3.52, 2 Y 3.52-3.54


Most stable structure, least stable structure: ii, i.


i.
Compound: LaSm6Y3
Source: the Alexandria database
Functional: PBE
Structure: relaxed

Output
- Volume: 1350.68 Å³/cell
- M_tot: 0.00 μB/atom
- Mass density: 6.43 Mg/m³

a b c (Å): 11.2060 19.3827 6.2185
angles (deg): 90.00 90.00 90.00
Closest atoms and distances in Å follow each position.
Space group Cmc2_1 (No. 36)
Inequivalent atoms, fractional coordinates:
La 0.0000 0.1979 0.0000 x4  4 Sm 3.23-3.36, 2 Y 3.39
Sm 0.0000 0.0416 0.8070 x4  1 La 3.26, 2 Sm 3.50, 4 Y 3.56-3.64
Sm 0.0000 0.2817 0.5270 x4  2 Sm 3.15, 1 La 3.36, 1 Y 3.42
Sm 0.1662 0.4563 0.4292 x8  6 Sm 3.49-3.91, 4 Y 3.50-3.66
Sm 0.2421 0.2892 0.2704 x8  4 Sm 3.15-3.49, 1 La 3.23, 1 Y 3.33
Y 0.0000 0.3862 0.9711 x4  7 Sm 3.42-3.79, 1 La 3.65, 2 Y 3.74
Y 0.1718 0.1120 0.3611 x8  6 Sm 3.33-3.64, 1 La 3.39


ii.
Compound: LaSm6Y3
Source: the Alexandria database
Functional: PBE
Structure: relaxed

Output
- Volume: 1028.86 Å³/cell
- M_tot: 0.00 μB/atom
- Mass density: 6.33 Mg/m³

a b c (Å): 9.9799 9.9799 11.9283
angles (deg): 90.00 90.00 120.00
Closest atoms and distances in Å follow each position.
Space group R32 (No. 155, hexagonal axes)
Inequivalent atoms, fractional coordinates:
La 0.0000 0.0000 0.0000 x3  2 Y 3.03, 3 Sm 3.28
Sm 0.0000 0.3286 0.0000 x9  1 La 3.28, 2 Y 3.48
Sm 0.0000 0.6722 0.5000 x9  3 Y 3.27-3.51
Y 0.0000 0.0000 0.2540 x6  1 Y 2.93, 1 La 3.03
Y 0.0000 0.0000 0.5000 x3  2 Y 2.93, 3 Sm 3.27


Most stable structure, least stable structure: i, ii.


i.
Compound: La4SmY6
Source: the Alexandria database
Functional: PBE
Structure: relaxed

Output
- Volume: 794.26 Å³/cell
- M_tot: 0.00 μB/atom
- Mass density: 5.18 Mg/m³

a b c (Å): 6.8269 6.8269 17.0419
angles (deg): 90.00 90.00 90.00
Closest atoms and distances in Å follow each position.
Space group I-42m (No. 121)
Inequivalent atoms, fractional coordinates:
La 0.1890 0.1890 0.3234 x8  7 Y 3.49-3.90, 1 Sm 3.52, 1 La 3.65
Sm 0.0000 0.0000 0.5000 x2  8 Y 3.41-3.74, 4 La 3.52
Y 0.0000 0.5000 0.0000 x4  4 Y 3.24, 2 Sm 3.41
Y 0.1747 0.1747 0.1190 x8  3 Y 3.24-3.37, 3 La 3.49-3.58


ii.
Compound: La4SmY6
Source: the Alexandria database
Functional: PBE
Structure: relaxed

Output
- Volume: 690.38 Å³/cell
- M_tot: 0.04 μB/atom
- Mass density: 2.98 Mg/m³

a b c (Å): 15.4333 15.4333 3.3469
angles (deg): 90.00 90.00 120.00
Closest atoms and distances in Å follow each position.
Space group P-6m2 (No. 187)
Inequivalent atoms, fractional coordinates:
La 0.0000 0.0000 0.0000 x1  3 Y 3.20, 2 La 3.35
La 0.5310 0.0619 0.5000 x3  2 Y 3.32, 2 La 3.35
Sm 0.6667 0.3333 0.0000 x1  6 Y 3.33, 2 Sm 3.35
Y 0.2391 0.1196 0.0000 x3  1 La 3.20, 4 Y 3.29-3.35
Y 0.4510 0.2255 0.5000 x3  4 Y 3.29-3.35, 2 La 3.32, 2 Sm 3.33


Most stable structure, least stable structure: i, ii.